[1]
Material: Li2NdUO6
Method: DFT, GGA-PBE
State: relaxed

The value obtained for the uncorrected formation energy is -2.62 eV per atom. The value obtained for the density is 6240 kg/m³. The value obtained for the electronic total energy is -7.5869 eV/atom.

The space group is P2_1/c (No. 14) and the conventional cell measures 5.6185, 5.6839 and 9.9071 Å, with angles of 90.00, 124.11 and 90.00 degrees. The distinct sites, in fractional coordinates, are Li at (0.2142, 0.0139, 0.2418), Nd at (0.0000, 0.0000, 0.5000), U at (0.5000, 0.0000, 0.0000), O at (0.1426, 0.1029, 0.7701), O at (0.2426, 0.6386, 0.5652) and O at (0.4535, 0.1781, 0.5816).

***

[2]
Material: LiNdUO5
Method: DFT, GGA-PBE
State: relaxed

The value obtained for the uncorrected formation energy is -3.02 eV per atom. The value obtained for the density is 6695 kg/m³. The value obtained for the electronic total energy is -8.3650 eV/atom.

The space group is C2/c (No. 15) and the conventional cell measures 6.7527, 9.5340 and 7.7661 Å, with angles of 90.00, 111.40 and 90.00 degrees. The distinct sites, in fractional coordinates, are Li at (0.0000, 0.1859, 0.2500), Nd at (0.0000, 0.1491, 0.7500), U at (0.0000, 0.5000, 0.0000), O at (0.0000, 0.3975, 0.7500), O at (0.1199, 0.3124, 0.1194) and O at (0.1832, 0.0474, 0.4304).

***

Question: Among the records above, which one has the highest density?
Answer: LiNdUO5